DFT (PBE+U) results for Li4TiMn3P4O16 after structural relaxation.

The structure in extended XYZ format:
```
28
Lattice="4.777 0.000 0.000 0.000 6.165 0.000 -0.018 0.000 10.617" Properties=species:S:1:pos:R:3 pbc="T T T"
Li 0.000 1.535 0.000
Li 0.000 4.630 0.000
Li 2.366 1.536 5.307
Li 2.366 4.629 5.307
Ti 2.262 0.000 2.341
Mn 0.099 0.000 7.625
Mn 2.492 3.082 8.281
Mn 4.663 3.082 2.974
P 0.405 3.082 6.278
P 1.997 3.082 0.970
P 2.791 0.000 9.632
P 4.339 0.000 4.326
O 0.986 3.082 4.833
O 1.041 1.845 7.010
O 1.041 4.320 7.010
O 1.096 0.000 4.310
O 1.252 0.000 9.588
O 1.371 1.846 1.719
O 1.371 4.319 1.719
O 1.378 3.082 10.154
O 3.384 0.000 0.459
O 3.427 1.237 8.898
O 3.427 4.928 8.898
O 3.536 3.082 1.003
O 3.646 3.082 6.321
O 3.692 1.235 3.590
O 3.692 4.930 3.590
O 3.748 0.000 5.766
```

Computed properties:
The uncorrected energy is -7.194 eV/atom. The volume comes out at 11.2 A^3/atom.